# 1
A plane-wave DFT calculation with PBE was carried out for an optimized crystal structure of Cr2GaBiC.

Results
- E_tot: -32.7 eV/f.u.
- Calculated formation energy: 0.54 eV per atom

Structure (POSCAR):
```
Cr2GaBiC
1.0
4.202 0.000 0.000
0.000 4.202 0.000
0.000 0.000 4.646
Cr Ga C Bi
2 1 1 1
Cartesian
2.101 0.000 0.000
0.000 2.101 0.000
0.000 0.000 2.323
0.000 0.000 0.000
2.101 2.101 2.323
```



# 2
A plane-wave DFT calculation with PBE was carried out for an optimized crystal structure of CrBiOs2C.

Results
- E_tot: -31.8 eV/f.u.
- Calculated formation energy: 2.69 eV per atom

Structure (POSCAR):
```
CrBiOs2C
1.0
-1.311 2.763 -3.241
-4.669 -0.182 1.733
0.843 3.493 2.636
Bi C Os Cr
1 1 2 1
Cartesian
-2.335 -0.091 0.867
-2.569 3.037 0.564
0.421 1.746 1.318
-0.655 1.381 -1.621
0.000 0.000 0.000
```



# 3
A plane-wave DFT calculation with PBE was carried out for an optimized crystal structure of CrBiPtC2.

Results
- E_tot: -30.3 eV/f.u.
- Calculated formation energy: 1.54 eV per atom

Structure (POSCAR):
```
CrBiPtC2
1.0
-0.088 -3.546 1.768
5.428 0.084 0.440
-0.313 1.770 3.532
Cr C Bi Pt
1 2 1 1
Cartesian
2.714 0.042 0.220
-0.044 -1.773 0.884
-0.157 0.885 1.766
2.513 -0.846 2.870
0.000 0.000 0.000
```



# 4
A plane-wave DFT calculation with PBE was carried out for an optimized crystal structure of CrBi2SbC.

Results
- E_tot: -27.0 eV/f.u.
- Formation energy from raw total energies: 3.691 eV/f.u.

Structure (POSCAR):
```
CrBi2SbC
1.0
-3.099 -4.539 0.005
2.359 -1.613 -2.460
2.963 -2.018 4.165
C Cr Bi Sb
1 1 2 1
Cartesian
1.180 -0.807 -1.230
0.000 0.000 0.000
1.481 -1.009 2.083
-1.549 -2.269 0.002
1.112 -4.085 0.855
```



# 5
A plane-wave DFT calculation with PBE was carried out for an optimized crystal structure of Sc2CrBiC.

Results
- E_tot: -37.1 eV/f.u.
- Calculated formation energy: -0.34 eV per atom

Structure (POSCAR):
```
Sc2CrBiC
1.0
-0.327 -2.353 4.008
0.508 -4.012 -2.313
3.975 0.236 0.463
C Sc Bi Cr
1 2 1 1
Cartesian
0.000 0.000 0.000
-0.163 -1.176 2.004
0.254 -2.006 -1.157
2.078 -3.064 1.079
1.988 0.118 0.231
```



# 6
A plane-wave DFT calculation with PBE was carried out for an optimized crystal structure of Cr2BiCSe.

Results
- E_tot: -26.5 eV/f.u.
- Formation energy from raw total energies: 9.334 eV/f.u.

Structure (POSCAR):
```
Cr2BiCSe
1.0
-3.490 2.158 3.523
-2.812 -3.158 -0.851
2.153 -2.985 3.963
Bi Cr Se C
1 2 1 1
Cartesian
0.000 0.000 0.000
1.077 -1.493 1.981
-1.745 1.079 1.761
-2.075 -1.992 3.317
-1.406 -1.579 -0.426
```